1.
# Mg2TlSnPd

An optimized crystal structure of Mg2TlSnPd (PBE, the Alexandria database).

Summary:
* symmetry: No. 123

Cell: 5.1002 5.1002 5.0703 Å, 90.00 90.00 90.00°
Closest atoms and distances in Å follow each position.
Fractional positions:
Mg: 0.0000 0.5000 0.0000  2 Pd 2.55
Mg: 0.5000 0.0000 0.0000  2 Pd 2.55
Tl: 0.5000 0.5000 0.5000  8 Mg 3.60, 4 Sn 3.61
Sn: 0.0000 0.0000 0.5000  2 Pd 2.54
Pd: 0.0000 0.0000 0.0000  2 Sn 2.54, 4 Mg 2.55

***

2.
# TmMgSn2Pd4

An optimized crystal structure of TmMgSn2Pd4 (PBE, the Alexandria database).

Summary:
* symmetry: No. 166

Cell: 4.6649 4.6649 8.1804 Å, 73.43 73.43 60.00°
Closest atoms and distances in Å follow each position.
Fractional positions:
Sn: 0.7513 0.7513 0.7461  8 Pd 2.82-3.08
Pd: 0.1269 0.1269 0.6193  4 Sn 2.82-2.87, 3 Mg 2.85, 1 Tm 2.94
Mg: 0.5000 0.5000 0.5000  8 Pd 2.75-2.85
Pd: 0.6185 0.6185 0.1445  1 Mg 2.75, 3 Sn 2.82, 3 Tm 2.92
Tm: 0.0000 0.0000 0.0000  8 Pd 2.92-2.94
Pd: 0.3815 0.3815 0.8555  1 Mg 2.75, 3 Sn 2.82, 3 Tm 2.92
Sn: 0.2487 0.2487 0.2539  8 Pd 2.82-3.08
Pd: 0.8731 0.8731 0.3807  4 Sn 2.82-2.87, 3 Mg 2.85, 1 Tm 2.94

***

3.
# MgZn2Sn2Pd5

An optimized crystal structure of MgZn2Sn2Pd5 (PBE, the Alexandria database).

Summary:
* symmetry: No. 127

Cell: 3.6422 9.7307 9.7307 Å, 90.00 90.00 90.00°
Closest atoms and distances in Å follow each position.
Fractional positions:
Pd: 0.5000 0.3881 0.3223  2 Zn 2.61, 2 Mg 2.74, 2 Sn 2.84, 3 Pd 2.89-2.90
Pd: 0.5000 0.3223 0.6119  2 Zn 2.61, 2 Mg 2.74, 2 Sn 2.84, 3 Pd 2.89-2.90
Sn: 0.0000 0.8355 0.6645  3 Zn 2.81-2.90, 6 Pd 2.84-2.91
Sn: 0.0000 0.6645 0.1645  3 Zn 2.81-2.90, 6 Pd 2.84-2.91
Sn: 0.0000 0.3355 0.8355  3 Zn 2.81-2.90, 6 Pd 2.84-2.91
Zn: 0.0000 0.6315 0.8685  6 Pd 2.57-2.61, 1 Sn 2.81
Pd: 0.5000 0.8881 0.1777  2 Zn 2.61, 2 Mg 2.74, 2 Sn 2.84, 3 Pd 2.89-2.90
Pd: 0.5000 0.1119 0.8223  2 Zn 2.61, 2 Mg 2.74, 2 Sn 2.84, 3 Pd 2.89-2.90
Pd: 0.5000 0.6119 0.6777  2 Zn 2.61, 2 Mg 2.74, 2 Sn 2.84, 3 Pd 2.89-2.90
Zn: 0.0000 0.8685 0.3685  6 Pd 2.57-2.61, 1 Sn 2.81
Sn: 0.0000 0.1645 0.3355  3 Zn 2.81-2.90, 6 Pd 2.84-2.91
Pd: 0.5000 0.0000 0.5000  4 Zn 2.57
Mg: 0.0000 0.5000 0.5000  8 Pd 2.74
Pd: 0.5000 0.8223 0.8881  2 Zn 2.61, 2 Mg 2.74, 2 Sn 2.84, 3 Pd 2.89-2.90
Zn: 0.0000 0.1315 0.6315  6 Pd 2.57-2.61, 1 Sn 2.81
Pd: 0.5000 0.1777 0.1119  2 Zn 2.61, 2 Mg 2.74, 2 Sn 2.84, 3 Pd 2.89-2.90
Pd: 0.5000 0.5000 0.0000  4 Zn 2.57
Pd: 0.5000 0.6777 0.3881  2 Zn 2.61, 2 Mg 2.74, 2 Sn 2.84, 3 Pd 2.89-2.90
Zn: 0.0000 0.3685 0.1315  6 Pd 2.57-2.61, 1 Sn 2.81
Mg: 0.0000 0.0000 0.0000  8 Pd 2.74

***

| no. | electronic total energy (eV per atom) | formation energy (kJ/mol of formula units) |
| --- | --- | --- |
| 1 | -3.15 | -95 |
| 2 | -5.13 | -596 |
| 3 | -4.21 | -387 |